No. 1
# PBE-GGA BP2Se, optimized geometry
# Volume, Å³ per atom: 14.08
# Crystal system: cubic
# VASP energy, eV/cell: -62.165
# E_form (uncorrected), meV/atom: 1360
# Spin magnetization, Bohr magnetons per cell: 0.00
# E above lowest polymorph, meV per atom: 1073
data_BP2Se
_cell_length_a 6.085
_cell_length_b 6.085
_cell_length_c 6.085
_cell_angle_alpha 90.00
_cell_angle_beta 90.00
_cell_angle_gamma 90.00
_symmetry_space_group_name_H-M 'F m -3 m'
_symmetry_Int_Tables_number 225
_symmetry_space_group_name_Hall '-F 4 2 3'
loop_
_atom_site_label
_atom_site_fract_x
_atom_site_fract_y
_atom_site_fract_z
B1 0.000 0.000 0.000
P1 0.250 0.250 0.250
Se1 0.000 0.000 0.500

No. 2
# PBE-GGA B3PSe, optimized geometry
# Volume, Å³ per atom: 12.45
# Crystal system: cubic
# VASP energy, eV/cell: -22.054
# E_form (uncorrected), meV/atom: 1375
# Spin magnetization, Bohr magnetons per cell: 0.00
# E above lowest polymorph, meV per atom: 0
data_B3PSe
_cell_length_a 3.963
_cell_length_b 3.963
_cell_length_c 3.963
_cell_angle_alpha 90.00
_cell_angle_beta 90.00
_cell_angle_gamma 90.00
_symmetry_space_group_name_H-M 'P m -3 m'
_symmetry_Int_Tables_number 221
_symmetry_space_group_name_Hall '-P 4 2 3'
loop_
_atom_site_label
_atom_site_fract_x
_atom_site_fract_y
_atom_site_fract_z
B1 0.000 0.000 0.500
P1 0.000 0.000 0.000
Se1 0.500 0.500 0.500

Q: Which formula does entry 1 have?
A: BP2Se

Q: volume of number 2 (B3PSe)?
A: 12.45 Å³ per atom